1.
# NaAc4Si2

A relaxed structure of NaAc4Si2 (GGA-PBE, Alexandria via LeMat-Bulk).

Formation energy from raw total energies in eV/atom: -0.134

```
14
Lattice="-5.3590 -0.1462 6.2202 -0.5476 -8.1474 0.8466 7.9871 6.2057 3.1097" Properties=species:S:1:pos:R:3 pbc="T T T"
Ac 3.8612 3.5408 4.8370
Ac 4.8570 -0.3981 5.9490
Ac 1.2200 -0.8108 8.1639
Ac -4.0422 -3.4710 5.7490
Ac -2.9972 0.7143 6.4097
Ac 0.5185 0.2083 4.3503
Ac 0.1131 3.0482 7.3688
Ac -0.3806 -3.6751 3.6706
Si -1.8652 -5.5496 5.5129
Si -2.4845 -1.1487 3.9166
Si 2.4727 1.3893 6.4360
Si 6.4879 1.7489 3.9670
Na 7.0846 4.9381 4.1871
Na 3.0563 -1.8994 2.7689
```

=====

2.
# RbSrTbBr6

A relaxed structure of RbSrTbBr6 (GGA-PBE, Alexandria via LeMat-Bulk).

Formation energy from raw total energies in eV/atom: -1.960

```
18
Lattice="7.7521 0.0000 0.0000 -3.8761 6.7135 0.0000 0.0000 0.0000 14.6778" Properties=species:S:1:pos:R:3 pbc="T T T"
Rb 0.0000 0.0000 0.0000
Rb 0.0000 0.0000 7.3389
Br 4.8717 0.1566 5.3136
Br 1.5758 2.4162 5.3136
Br -0.9956 6.5570 9.3643
Br -2.3003 4.2973 12.6525
Br 2.3003 4.2973 9.3643
Br 1.3046 2.5728 12.6525
Br 2.5714 4.1407 2.0254
Br 0.9956 6.5570 12.6525
Br 6.1763 2.4162 2.0254
Br 5.1807 4.1407 5.3136
Br 2.8804 0.1566 2.0254
Br -1.3046 2.5728 9.3643
Tb 0.0000 4.4757 11.0084
Tb 3.8761 2.2378 3.6695
Sr 0.0000 4.4757 3.6695
Sr 3.8761 2.2378 11.0084
```

=====

3.
# Cs3Pm3AsO8

A relaxed structure of Cs3Pm3AsO8 (GGA-PBE, Alexandria via LeMat-Bulk).

Formation energy from raw total energies in eV/atom: -2.216

```
15
Lattice="7.0606 -0.0009 0.0002 -3.5311 6.1175 -0.0211 0.0008 -4.0546 7.0130" Properties=species:S:1:pos:R:3 pbc="T T T"
Pm 1.7652 1.0310 3.4961
Pm -1.7651 1.0315 3.4960
Pm 3.5307 -2.0278 3.5066
O 5.5191 -1.1422 2.4299
O 1.9888 3.2035 4.5624
O 3.5305 0.0154 4.6511
O 0.0006 -0.2425 4.5745
O -1.9888 3.2042 4.5623
O -0.0002 2.0465 2.3411
O 3.5297 2.3045 2.4176
O 1.5415 -1.1415 2.4297
Cs 0.0000 0.0000 0.0000
Cs 1.7648 3.0583 -0.0104
Cs -1.7656 3.0588 -0.0105
As 0.0004 -2.0273 3.5065
```

=====

4.
# Sc6InPb

A relaxed structure of Sc6InPb (GGA-PBE, Alexandria via LeMat-Bulk).

ΔE to the lowest computed polymorph in eV per formula unit: 0.25

```
8
Lattice="8.0871 0.0091 0.0792 4.0364 7.0077 0.0173 4.0085 2.3490 3.3336" Properties=species:S:1:pos:R:3 pbc="T T T"
Pb 0.0000 0.0000 0.0000
Sc 3.0301 0.5860 0.8483
Sc 13.1018 8.7798 2.5818
Sc 11.1007 4.0960 0.9170
Sc 5.0313 5.2697 2.5131
Sc 10.0760 7.0145 2.5573
Sc 6.0559 2.3513 0.8728
In 8.0660 4.6829 1.7150
```

=====

5.
# Tb2NdSm2Y4

A relaxed structure of Tb2NdSm2Y4 (GGA-PBE, Alexandria via LeMat-Bulk).

Final energy in eV/atom: -5.450

```
9
Lattice="3.5964 0.0000 0.0000 -1.7982 8.7571 0.4700 0.0000 -2.5977 9.3292" Properties=species:S:1:pos:R:3 pbc="T T T"
Sm 0.0000 5.7028 1.0351
Sm 1.7982 0.4566 8.7641
Y 0.0000 2.5137 2.4992
Y 1.7982 3.6458 7.3000
Y 0.0000 6.7065 6.7237
Y 1.7982 -0.5471 3.0755
Tb 0.0000 1.0498 5.6563
Tb 1.7982 5.1096 4.1429
Nd 0.0000 0.0000 0.0000
```

=====

6.
# Nd3AlAg3Se8

A relaxed structure of Nd3AlAg3Se8 (GGA-PBE, Alexandria via LeMat-Bulk).

Formation energy from raw total energies in eV/atom: -1.011

```
15
Lattice="8.4668 0.0000 0.0000 -4.2334 7.3284 -0.0367 0.0000 -4.8789 6.3715" Properties=species:S:1:pos:R:3 pbc="T T T"
Nd -2.1167 1.2248 3.1674
Nd 4.2334 -2.4395 3.1857
Nd 2.1167 1.2248 3.1674
Se 0.0000 2.4385 1.5645
Se -2.3652 5.9596 1.6472
Se 1.8682 -3.5101 4.6876
Se 4.2334 0.0111 4.7702
Se 6.5987 -3.5101 4.6876
Se 2.3653 5.9596 1.6472
Se 0.0000 -0.2775 4.6709
Se 4.2334 2.7270 1.6638
Ag 2.1167 3.6642 -0.0184
Ag 0.0000 0.0000 0.0000
Ag -2.1167 3.6642 -0.0184
Al 0.0000 -2.4395 3.1857
```

=====

7.
# RhSeCl2

A relaxed structure of RhSeCl2 (GGA-PBE, Alexandria via LeMat-Bulk).

ΔE to the lowest computed polymorph in eV per formula unit: 1.66
Formation energy from raw total energies in eV/atom: 0.048

```
4
Lattice="3.9823 -0.0133 0.0000 -2.4453 3.1431 0.0000 0.0000 0.0000 8.7044" Properties=species:S:1:pos:R:3 pbc="T T T"
Cl 0.0000 0.0000 8.2533
Cl 0.7685 1.5649 2.8820
Se 0.7685 1.5649 6.0557
Rh 0.0000 0.0000 4.5701
```

=====

8.
# BaScTa2

A relaxed structure of BaScTa2 (GGA-PBE, Alexandria via LeMat-Bulk).

ΔE to the lowest computed polymorph in eV per formula unit: 1.15

```
4
Lattice="-4.1100 3.2365 1.3461 -3.5912 1.3946 3.7865 4.0847 4.6662 2.6534" Properties=species:S:1:pos:R:3 pbc="T T T"
Ta 3.6387 4.3152 2.4833
Ta -1.3622 4.9998 4.0632
Sc -2.7124 6.9731 5.8395
Ba -0.9041 2.3244 1.9465
```

=====

9.
# NdGa4Cu2Rh

A relaxed structure of NdGa4Cu2Rh (GGA-PBE, Alexandria via LeMat-Bulk).

Final energy in eV/atom: -4.459

```
8
Lattice="4.1983 0.0000 0.0000 2.0991 3.6358 0.0000 2.0991 1.2119 9.0211" Properties=species:S:1:pos:R:3 pbc="T T T"
Nd 0.0000 0.0000 0.0000
Ga 6.2974 3.6358 3.5030
Ga 4.1983 2.4239 7.1335
Ga 2.0991 1.2119 5.5181
Ga 4.1983 2.4239 1.8875
Rh 4.1983 2.4239 4.5105
Cu 6.2974 3.6358 6.3833
Cu 2.0991 1.2119 2.6377
```

=====

10.
# NaReSbI2

A relaxed structure of NaReSbI2 (GGA-PBE, Alexandria via LeMat-Bulk).

ΔE to the lowest computed polymorph in eV per formula unit: 5.16
Formation energy from raw total energies in eV/atom: 1.362

```
5
Lattice="-0.8841 3.3668 -4.4699 -5.5846 -0.2416 0.9225 0.3828 4.8699 3.5925" Properties=species:S:1:pos:R:3 pbc="T T T"
Na 0.0000 0.0000 0.0000
I -2.7923 -0.1208 0.4613
I -0.4420 1.6834 -2.2349
Re -3.0429 3.9976 0.0226
Sb 0.1914 2.4350 1.7962
```

=====

11.
# RbAgI2O8

A relaxed structure of RbAgI2O8 (GGA-PBE, Alexandria via LeMat-Bulk).

Formation energy from raw total energies in eV/atom: -0.369

```
12
Lattice="-2.0836 0.3558 5.5615 -5.8418 -2.7649 1.1708 -0.2491 -6.9912 3.5364" Properties=species:S:1:pos:R:3 pbc="T T T"
O -0.5213 -1.7006 1.5525
O -2.8456 -3.4130 2.3347
O -4.7483 -1.8925 4.7071
O -6.6427 -7.8723 6.0189
O -1.5318 -1.5281 4.2497
O -7.6532 -7.6998 8.7161
O -5.3288 -5.9874 7.9340
O -3.4262 -7.5078 5.5616
I -2.0462 -1.8147 2.5319
I -6.1282 -7.5857 7.7367
Ag 0.0000 0.0000 0.0000
Rb -4.0872 -4.7002 5.1343
```

=====

12.
# HoThNi4

A relaxed structure of HoThNi4 (GGA-PBE, Alexandria via LeMat-Bulk).

ΔE to the lowest computed polymorph in eV per formula unit: 0.06

```
6
Lattice="5.1218 0.0000 0.0000 2.5609 4.4356 0.0000 2.5609 1.4785 4.1820" Properties=species:S:1:pos:R:3 pbc="T T T"
Ni 6.4080 3.6997 2.6161
Ni 5.1218 2.9571 0.5157
Ni 5.1218 1.4719 2.6161
Ni 3.8357 3.6997 2.6161
Ho 0.0000 0.0000 0.0000
Th 2.5609 1.4785 1.0455
```

=====

13.
# La4Si3

A relaxed structure of La4Si3 (GGA-PBE, Alexandria via LeMat-Bulk).

Formation energy from raw total energies in eV/atom: -0.308

```
7
Lattice="2.9283 -5.0719 0.0000 2.9283 5.0719 0.0000 0.0000 0.0000 6.0587" Properties=species:S:1:pos:R:3 pbc="T T T"
La 0.0000 0.0000 1.4092
La 2.9283 -1.6906 3.0293
La 0.0000 0.0000 4.6495
La 2.9283 1.6906 3.0293
Si 2.9283 0.0000 0.0000
Si 1.4641 -2.5359 0.0000
Si 1.4641 2.5359 0.0000
```

=====

14.
# AcSmYSe3

A relaxed structure of AcSmYSe3 (GGA-PBE, Alexandria via LeMat-Bulk).

Formation energy from raw total energies in eV/atom: -1.668

```
12
Lattice="-3.5677 2.2709 -0.1193 -2.7853 -4.6972 -6.1119 -3.3316 -4.7780 8.6826" Properties=species:S:1:pos:R:3 pbc="T T T"
Se -4.6937 -1.5315 -1.3138
Se -5.5884 -3.1132 -4.6627
Se -4.9444 -5.8032 -0.1088
Se -4.7403 -1.4011 2.5602
Se -4.0963 -4.0912 7.1141
Se -4.9909 -5.6728 3.7652
Y -3.4238 -3.1799 4.3486
Y -6.2609 -4.0244 -1.8972
Sm -3.0489 -2.9926 -3.2935
Sm -6.6358 -4.2117 5.7449
Ac -7.5457 -5.8493 1.7865
Ac -2.1390 -1.3550 0.6649
```

=====

15.
# Ce2Th2SiIr4

A relaxed structure of Ce2Th2SiIr4 (GGA-PBE, Alexandria via LeMat-Bulk).

Formation energy from raw total energies in eV/atom: -0.485

```
9
Lattice="-2.0097 -0.2233 6.0686 1.3650 -5.7185 -2.5205 5.6030 2.9814 -0.7970" Properties=species:S:1:pos:R:3 pbc="T T T"
Th 3.5386 0.6948 1.8065
Th 1.4196 -3.6552 0.9447
Ir 0.7011 -0.7570 2.0971
Ir 4.2572 -2.2034 0.6541
Ir 4.5953 0.9128 -1.2068
Ir 2.3726 -3.6499 -2.1107
Ce 4.6290 -1.8183 -2.2039
Ce 2.3389 -0.9187 -1.1136
Si 0.0000 0.0000 0.0000
```

=====

16.
# LaW

A relaxed structure of LaW (GGA-PBE, Alexandria via LeMat-Bulk).

ΔE to the lowest computed polymorph in eV per formula unit: 4.41

```
2
Lattice="4.5706 0.0000 0.0000 2.2853 3.9583 0.0000 2.2853 1.3194 3.7319" Properties=species:S:1:pos:R:3 pbc="T T T"
W 6.8559 3.9583 2.7989
La 0.0000 0.0000 0.0000
```

=====

17.
# YZnBi2

A relaxed structure of YZnBi2 (GGA-PBE, Alexandria via LeMat-Bulk).

Final energy in eV/atom: -4.194

```
4
Lattice="-3.8085 -0.3136 2.0655 0.0538 -4.9063 -0.6456 2.3796 -0.5404 4.3055" Properties=species:S:1:pos:R:3 pbc="T T T"
Y -1.9043 -0.1568 1.0328
Bi 0.0269 -2.4532 -0.3228
Bi 1.1898 -0.2702 2.1527
Zn -0.6876 -2.8801 2.8627
```

=====

18.
# Mg3As

A relaxed structure of Mg3As (GGA-PBE, Alexandria via LeMat-Bulk).

Final energy in eV/atom: -2.445

```
8
Lattice="-4.9696 0.5969 3.0937 -1.2532 -0.2962 -5.7416 -0.4124 -5.3235 0.3647" Properties=species:S:1:pos:R:3 pbc="T T T"
Mg -1.5459 -4.1342 -3.1908
Mg -5.2476 -1.0823 -2.0979
Mg -5.0893 -0.8887 0.9076
Mg -3.6424 -3.6303 1.7934
Mg -1.3875 -3.9406 -0.1853
Mg -2.9928 -1.3925 -4.0765
As -2.8088 -1.2001 -1.0601
As -3.8263 -3.8227 -1.2230
```

=====

19.
# TbThCd2

A relaxed structure of TbThCd2 (GGA-PBE, Alexandria via LeMat-Bulk).

Final energy in eV/atom: -3.666

```
4
Lattice="-0.7265 1.9091 2.8617 -0.1046 -2.9357 1.9319 8.5679 0.7825 1.6531" Properties=species:S:1:pos:R:3 pbc="T T T"
Cd 2.2505 0.2055 0.4342
Cd 6.3174 0.5770 1.2189
Tb 3.8684 -0.1221 3.2233
Th -0.4156 -0.5133 2.3968
```

=====

20.
# BiBW3

A relaxed structure of BiBW3 (GGA-PBE, Alexandria via LeMat-Bulk).

ΔE to the lowest computed polymorph in eV per formula unit: 16.65

```
5
Lattice="5.0261 0.0000 0.0000 0.0000 5.0261 0.0000 0.0000 0.0000 5.0261" Properties=species:S:1:pos:R:3 pbc="T T T"
Bi 0.0000 0.0000 0.0000
W 0.0000 0.0000 2.5131
W 0.0000 2.5131 0.0000
W 2.5131 0.0000 0.0000
B 2.5131 2.5131 2.5131
```

=====

21.
# SrZrC2

A relaxed structure of SrZrC2 (GGA-PBE, Alexandria via LeMat-Bulk).

ΔE to the lowest computed polymorph in eV per formula unit: 2.20

```
4
Lattice="0.0000 3.1036 3.1036 3.1036 0.0000 3.1036 3.1036 3.1036 0.0000" Properties=species:S:1:pos:R:3 pbc="T T T"
C 1.5518 1.5518 1.5518
C 4.6554 4.6554 4.6554
Zr 3.1036 3.1036 3.1036
Sr 0.0000 0.0000 0.0000
```

=====

22.
# PuTiOs2

A relaxed structure of PuTiOs2 (GGA-PBE, Alexandria via LeMat-Bulk).

Final energy in eV/atom: -11.411

```
4
Lattice="-2.8947 -0.6008 0.9353 1.0997 -1.9291 2.1643 0.3685 5.3324 4.5656" Properties=species:S:1:pos:R:3 pbc="T T T"
Pu -0.7133 1.4013 3.8326
Ti -0.8975 -1.2649 1.5498
Os 0.2887 4.1776 3.5768
Os 0.0798 1.1548 0.9888
```

=====

23.
# KRe6Se5Cl7O3

A relaxed structure of KRe6Se5Cl7O3 (GGA-PBE, Alexandria via LeMat-Bulk).

Formation energy from raw total energies in eV/atom: -0.763

```
22
Lattice="-6.8038 1.8597 6.2812 -1.7355 -6.2967 6.7642 2.9082 1.9915 8.9217" Properties=species:S:1:pos:R:3 pbc="T T T"
Cl -4.3047 -3.4625 9.0651
Cl -1.8942 1.2042 12.7375
Cl -1.8418 -3.7278 12.7495
Cl 0.4574 -1.0582 10.2295
Cl -3.8152 1.3116 9.0495
Cl -0.6011 -0.2467 2.9363
Cl -5.9731 -1.3239 11.3388
Re 1.8314 0.7478 9.4745
Re -2.7621 -4.7929 7.7972
Re -5.5742 1.7531 7.4941
Re -0.0561 -3.8864 14.3199
Re -3.0422 2.8193 14.0918
Re -7.4688 -2.9314 12.2728
Se -0.1652 2.2148 9.4510
Se -4.9827 -1.9290 18.8923
Se -2.9222 1.2057 16.0487
Se -2.7029 -3.2979 5.8424
Se -6.6886 -2.1064 14.6143
O -5.0321 2.1305 13.7823
O -6.0022 -4.4298 12.6345
O -1.5749 -3.5143 8.8261
K -2.7347 -1.3314 10.7776
```

=====

24.
# AgTeO2

A relaxed structure of AgTeO2 (GGA-PBE, Alexandria via LeMat-Bulk).

ΔE to the lowest computed polymorph in eV per formula unit: 0.15
Formation energy from raw total energies in eV/atom: -0.263

```
8
Lattice="-3.7363 -1.4320 2.5139 2.6932 -0.2215 3.8765 -1.9084 5.0754 4.4960" Properties=species:S:1:pos:R:3 pbc="T T T"
O -1.9472 3.1967 5.5889
O 0.9122 1.0177 3.7446
O -2.6486 0.2799 3.2962
O -2.2192 2.3495 9.1432
Ag 0.1317 2.0136 5.7839
Ag -0.5215 -0.8267 3.1952
Te -3.0831 1.4083 5.1026
Te 0.0000 0.0000 0.0000
```